# La4SbRu (PBE, relaxed)
# space group = F-43m (216)
# offset from the most stable computed form = 0.9722 eV/atom
# E_tot = -30.63 eV for the cell shown
# total magnetic moment = 0.175 μB per atom
# raw formation energy = 0.414 eV per atom
data_La4SbRu
_chemical_formula_sum 'La4 Sb1 Ru1'
_space_group_name_H-M_alt 'P 1'
_space_group_IT_number 1
_space_group_name_Hall 'P 1'
_cell_length_a 6.267
_cell_length_b 6.267
_cell_length_c 6.267
_cell_angle_alpha 60.00
_cell_angle_beta 60.00
_cell_angle_gamma 60.00
loop_
_atom_site_label
_atom_site_fract_x
_atom_site_fract_y
_atom_site_fract_z
La1 0.125 0.125 0.125
La2 0.125 0.125 0.626
La3 0.125 0.626 0.125
La4 0.626 0.125 0.125
Sb1 0.500 0.500 0.500
Ru1 0.750 0.750 0.750